1.
Compound: Ca3Sc2UP6
Source: Alexandria via LeMat-Bulk
Functional: PBE-GGA
Structure: optimized geometry

Computed properties:
- energy of formation from the pure elements (eV/atom) = -1.23
- energy (eV/atom) = -6.43
- total magnetization (μB/atom) = 0.00

Structure (POSCAR):
```
Ca3Sc2UP6
1.0
-0.6313 -5.8388 3.4294
5.6519 3.7269 0.6450
-4.3956 3.9619 3.6919
Ca P U Sc
3 6 1 2
direct
0.8316 0.1684 0.5000
0.1684 0.8316 0.5000
0.5000 0.5000 0.5000
0.2546 0.2546 0.7796
0.9264 0.5978 0.7784
0.7454 0.7454 0.2204
0.0736 0.4022 0.2216
0.4022 0.0736 0.2216
0.5978 0.9264 0.7784
0.0000 0.0000 0.0000
0.3336 0.6664 0.0000
0.6664 0.3336 0.0000
```

2.
Compound: CaY2ScP
Source: Alexandria via LeMat-Bulk
Functional: PBE-GGA
Structure: optimized geometry

Computed properties:
- energy of formation from the pure elements (eV/atom) = -0.46
- energy (eV/atom) = -5.80
- total magnetization (μB/atom) = 0.00

Structure (POSCAR):
```
CaY2ScP
1.0
-3.7516 3.7448 -1.3158
-3.9449 -3.3176 1.8058
0.4078 2.0354 4.6303
Sc Y Ca P
1 2 1 1
direct
0.0000 0.0000 0.5000
0.0000 0.5000 0.0000
0.5000 0.0000 0.0000
0.5000 0.5000 0.5000
0.0000 0.0000 0.0000
```

3.
Compound: CaP3Se
Source: Alexandria via LeMat-Bulk
Functional: PBE-GGA
Structure: optimized geometry

Computed properties:
- formation energy without anion corrections (eV/atom) = 0.3745
- distance to the lowest polymorph of the same formula (meV/atom) = 0.0
- energy (eV/atom) = -3.97
- total magnetization (μB/atom) = 0.00

Structure (POSCAR):
```
CaP3Se
1.0
-4.3049 -0.3401 -2.1885
1.0972 -4.4830 -1.4616
-1.9239 -1.7957 4.0634
Se P Ca
1 3 1
direct
0.0000 0.0000 0.0000
0.5000 0.0000 0.0000
0.0000 0.0000 0.5000
0.0000 0.5000 0.0000
0.5000 0.5000 0.5000
```

4.
Compound: CaPSe3
Source: Alexandria via LeMat-Bulk
Functional: PBE-GGA
Structure: optimized geometry

Computed properties:
- formation energy without anion corrections (eV/atom) = 0.6530
- distance to the lowest polymorph of the same formula (meV/atom) = 1544.2
- energy (eV/atom) = -2.92
- total magnetization (μB/atom) = 0.00

Structure (POSCAR):
```
CaPSe3
1.0
5.3820 0.0000 0.0000
0.0000 5.3820 0.0000
0.0000 0.0000 5.3820
Se P Ca
3 1 1
direct
0.0000 0.0000 0.5000
0.5000 0.0000 0.0000
0.0000 0.5000 0.0000
0.5000 0.5000 0.5000
0.0000 0.0000 0.0000
```